Model P:
A relaxed structure of Ba3In2WO9, computed with PBE with a Hubbard U.

Output
space-group type: No. 71
V: 453.2 Å³ per cell
DOS at the Fermi energy: 0.0 states/eV per cell

abc: 10.3591 10.3591 10.3591
angles: 146.49 131.82 59.96
Fractional coordinates of all 30 atoms:
Ba1 0.0802 0.3390 0.7412
Ba2 0.2334 0.0000 0.2334
Ba3 0.4023 0.6610 0.7412
Ba4 0.5977 0.3390 0.2588
Ba5 0.7666 0.0000 0.7666
Ba6 0.9198 0.6610 0.2588
In1 0.0000 0.5000 0.5000
In2 0.1697 0.1697 0.0000
In3 0.5000 0.5000 0.0000
In4 0.8303 0.8303 0.0000
W1 0.3326 0.8326 0.5000
W2 0.6674 0.1674 0.5000
O1 0.0868 0.3364 0.2496
O2 0.0868 0.8373 0.7504
O3 0.0973 0.8289 0.2685
O4 0.2555 0.5190 0.2635
O5 0.2555 0.9919 0.7365
O6 0.2580 0.5000 0.7580
O7 0.4092 0.1394 0.7302
O8 0.4092 0.6790 0.2698
O9 0.4396 0.1711 0.2685
O10 0.5604 0.8289 0.7315
O11 0.5908 0.3210 0.7302
O12 0.5908 0.8606 0.2698
O13 0.7420 0.5000 0.2420
O14 0.7445 0.0081 0.2635
O15 0.7445 0.4810 0.7365
O16 0.9027 0.1711 0.7315
O17 0.9132 0.1627 0.2496
O18 0.9132 0.6636 0.7504

---

Model Q:
A relaxed structure of Ba3In2WO9, computed with PBE with a Hubbard U.

Output
space-group type: No. 164
V: 226.4 Å³ per cell
DOS at the Fermi energy: 0.0 states/eV per cell

abc: 5.9753 5.9753 7.3222
angles: 90.00 90.00 120.00
Fractional coordinates of all 15 atoms:
Ba1 0.0000 0.0000 0.0000
Ba2 0.3333 0.6667 0.6887
Ba3 0.6667 0.3333 0.3113
In1 0.3333 0.6667 0.1669
In2 0.6667 0.3333 0.8331
W1 0.0000 0.0000 0.5000
O1 0.0000 0.5000 0.0000
O2 0.1557 0.3113 0.3470
O3 0.1557 0.8443 0.3470
O4 0.3113 0.1557 0.6530
O5 0.5000 0.0000 0.0000
O6 0.5000 0.5000 0.0000
O7 0.6887 0.8443 0.3470
O8 0.8443 0.1557 0.6530
O9 0.8443 0.6887 0.6530

---

Stability, lowest: model Q